Record 1
The following is a DFT calculation (PBE) of a geometry-optimized Pr2Ho2Re structure.

Properties
As for the total DFT energy (no corrections): -0.3442 Ry/atom. The energy relative to the elements comes out at 148.8 kJ/mol of atoms.

a b c (Å): 2.9808 9.7721 9.7985
angles (deg): 90.21 90.00 90.00
Each line ends with the local moment (μB).
Fractional positions:
Ho 0.4982 0.3184 0.1805  -0.03
Ho 0.4982 0.8173 0.3191  -0.03
Ho 0.4982 0.1817 0.6788  -0.03
Ho 0.4982 0.6786 0.8170  -0.03
Pr 0.4978 0.6213 0.1195  -0.02
Pr 0.4978 0.1192 0.3777  -0.02
Pr 0.4978 0.8793 0.6202  -0.02
Pr 0.4978 0.3776 0.8795  -0.02
Re 0.9998 0.0011 0.0009  0.38
Re 0.9998 0.4995 0.5008  0.35


Record 2
The following is a DFT calculation (PBE) of a geometry-optimized TbGd2Ge4Au4 structure.

Properties
As for the total DFT energy (no corrections): -0.3546 Ry/atom.

a b c (Å): 8.4217 8.4217 8.4217
angles (deg): 149.82 130.26 59.29
Fractional positions:
Au 0.6315 0.3328 0.2986
Au 0.9658 0.6672 0.2986
Au 0.0342 0.3328 0.7014
Au 0.3685 0.6672 0.7014
Gd 0.6267 0.1267 0.5000
Gd 0.3733 0.8733 0.5000
Ge 0.2161 0.2161 0.0000
Ge 0.7839 0.7839 0.0000
Ge 0.6847 0.5000 0.1847
Ge 0.3153 0.5000 0.8153
Tb 0.0000 0.0000 0.0000


Record 3
The following is a DFT calculation (PBE) of a geometry-optimized GdAlPt structure.

Properties
As for the total DFT energy (no corrections): -0.4378 Ry/atom.

a b c (Å): 6.9998 4.4328 7.7819
angles (deg): 90.00 90.00 90.00
Fractional positions:
Al 0.6474 0.7500 0.0664
Al 0.1474 0.7500 0.4336
Al 0.8526 0.2500 0.5664
Al 0.3526 0.2500 0.9336
Gd 0.9729 0.2500 0.1833
Gd 0.4729 0.2500 0.3167
Gd 0.5271 0.7500 0.6833
Gd 0.0271 0.7500 0.8167
Pt 0.2759 0.7500 0.1118
Pt 0.7759 0.7500 0.3882
Pt 0.2241 0.2500 0.6118
Pt 0.7241 0.2500 0.8882